# 1
Density functional theory data (GGA-PBE) for CsBa2B2S6 after structural relaxation.

The energy relative to the elements, uncorrected comes out at -1.151 eV/atom.

The space group is P-1 (No. 2) and the conventional cell measures 6.584, 6.660 and 8.489 Å, with angles of 84.04, 79.74 and 63.16 degrees. The inequivalent atoms are Cs at (0.000, 0.000, 0.000), Ba at (0.311, 0.365, 0.675), B at (0.314, 0.407, 0.253), S at (0.159, 0.673, 0.355), S at (0.221, 0.344, 0.083) and S at (0.428, 0.813, 0.678).

# 2
Density functional theory data (GGA-PBE) for Sm4CoBr2Cl after structural relaxation.

The energy relative to the elements, uncorrected comes out at -0.980 eV/atom.

The space group is P2/m (No. 10) and the conventional cell measures 7.362, 3.942 and 7.815 Å, with angles of 90.00, 107.66 and 90.00 degrees. The inequivalent atoms are Sm at (0.203, 0.000, 0.199), Sm at (0.238, 0.500, 0.799), Co at (0.000, 0.500, 0.000), Br at (0.000, 0.000, 0.500), Br at (0.500, 0.500, 0.500) and Cl at (0.500, 0.000, 0.000).

# 3
Density functional theory data (GGA-PBE) for BaSi2OsN after structural relaxation.

The energy relative to the elements, uncorrected comes out at 3.665 eV/atom.

The space group is P4/mmm (No. 123) and the conventional cell measures 5.668, 5.668 and 5.261 Å, with angles of 90.00, 90.00 and 90.00 degrees. The inequivalent atoms are Ba at (0.000, 0.000, 0.000), Si at (0.000, 0.500, 0.000), Os at (0.000, 0.000, 0.500) and N at (0.500, 0.500, 0.500).

# 4
Density functional theory data (GGA-PBE) for TbPm4SmEr2 after structural relaxation.

For the final energy, the calculation gives -0.34314 Ry per atom.

The space group is P2/m (No. 10) and the conventional cell measures 6.234, 3.608 and 11.893 Å, with angles of 90.00, 100.15 and 90.00 degrees. The inequivalent atoms are Tb at (0.000, 0.000, 0.000), Pm at (0.250, 0.500, 0.250), Pm at (0.251, 0.000, 0.752), Sm at (0.000, 0.500, 0.500), Er at (0.500, 0.000, 0.500) and Er at (0.500, 0.500, 0.000).

# 5
Density functional theory data (GGA-PBE) for ScIr2Os after structural relaxation.

The calculation puts the energy above the most stable polymorph in this dataset at 26.9 kJ per mole of atoms.

The space group is Pmmm (No. 47) and the conventional cell measures 2.965, 4.565 and 4.596 Å, with angles of 90.00, 90.00 and 90.00 degrees. The inequivalent atoms are Sc at (0.000, 0.000, 0.000), Ir at (0.000, 0.500, 0.500), Ir at (0.500, 0.500, 0.000) and Os at (0.500, 0.000, 0.500).

# 6
Density functional theory data (GGA-PBE) for NdThScAl after structural relaxation.

For the final energy, the calculation gives -0.41212 Ry per atom.

The space group is F-43m (No. 216) and the conventional cell measures 7.564, 7.564 and 7.564 Å, with angles of 90.00, 90.00 and 90.00 degrees. The inequivalent atoms are Nd at (0.000, 0.000, 0.000), Th at (0.000, 0.000, 0.500), Sc at (0.250, 0.250, 0.250) and Al at (0.250, 0.250, 0.750).

# 7
Density functional theory data (GGA-PBE) for NpGa5Ir3 after structural relaxation.

For the final energy, the calculation gives -0.46326 Ry per atom.

The space group is C2/m (No. 12) and the conventional cell measures 11.690, 7.576 and 8.181 Å, with angles of 90.00, 106.89 and 90.00 degrees. The inequivalent atoms are Np at (0.140, 0.000, 0.313), Ga at (0.000, 0.321, 0.000), Ga at (0.103, 0.500, 0.469), Ga at (0.158, 0.207, 0.689), Ga at (0.213, 0.000, 0.992), Ir at (0.000, 0.000, 0.000), Ir at (0.000, 0.000, 0.500), Ir at (0.090, 0.500, 0.782) and Ir at (0.165, 0.500, 0.210).

# 8
Density functional theory data (GGA-PBE) for Y2ReGe2 after structural relaxation.

For the final energy, the calculation gives -0.54944 Ry per atom.

The space group is P4/mbm (No. 127) and the conventional cell measures 6.917, 6.917 and 4.225 Å, with angles of 90.00, 90.00 and 90.00 degrees. The inequivalent atoms are Y at (0.177, 0.323, 0.000), Re at (0.000, 0.000, 0.500) and Ge at (0.132, 0.632, 0.500).

Please write out number 8 again, unchanged.
Density functional theory data (GGA-PBE) for Y2ReGe2 after structural relaxation.

For the final energy, the calculation gives -0.54944 Ry per atom.

The space group is P4/mbm (No. 127) and the conventional cell measures 6.917, 6.917 and 4.225 Å, with angles of 90.00, 90.00 and 90.00 degrees. The inequivalent atoms are Y at (0.177, 0.323, 0.000), Re at (0.000, 0.000, 0.500) and Ge at (0.132, 0.632, 0.500).

- Number 3 is which compound?
  BaSi2OsN